First-principles (GGA-PBE) data for Dy2Er5Te2Pt2 after structural relaxation, as listed in OQMD.

Unit cell a=9.374 b=9.374 c=9.374 alpha=155.76 beta=66.83 gamma=118.79
Element x y z (fractional)
Dy 0.145 0.000 0.145
Dy 0.855 0.000 0.855
Er 0.219 0.849 0.370
Er 0.459 0.641 0.818
Er 0.479 0.849 0.630
Er 0.766 0.266 0.500
Er 0.824 0.641 0.182
Te 0.103 0.603 0.500
Te 0.502 0.502 0.000
Pt 0.076 0.337 0.739
Pt 0.598 0.337 0.261

Calculated values
- crystal system = orthorhombic
- magnetization (μB per formula unit) = 0.00
- total DFT energy (no corrections) (eV per atom) = -5.61